Record 1
The following is a DFT calculation (PBE) of an optimized crystal structure of NbTcBi2.

```
data_NbTcBi2
_space_group_name_H-M_alt 'P 1'
_space_group_IT_number 1
_space_group_name_Hall 'P 1'
_cell_length_a 4.9516
_cell_length_b 4.9516
_cell_length_c 4.9516
_cell_angle_alpha 60.00
_cell_angle_beta 60.00
_cell_angle_gamma 60.00
loop_
_atom_site_label
_atom_site_type_symbol
_atom_site_fract_x
_atom_site_fract_y
_atom_site_fract_z
_atom_site_occupancy
Nb1 Nb 0.0000 0.0000 0.0000 1
Bi1 Bi 0.5000 0.5000 0.5000 1
Bi2 Bi 0.7500 0.7500 0.7500 1
Tc1 Tc 0.2500 0.2500 0.2500 1
```

## Properties
energy	-6.4288	eV per atom
space group	F-43m, No. 216
size of the total moment	0.011	Bohr magnetons per cell



Record 2
The following is a DFT calculation (PBE) of an optimized crystal structure of Nd2Ge2O7.

```
data_Nd2Ge2O7
_space_group_name_H-M_alt 'P 1'
_space_group_IT_number 1
_space_group_name_Hall 'P 1'
_cell_length_a 6.9811
_cell_length_b 6.9811
_cell_length_c 12.7488
_cell_angle_alpha 90.00
_cell_angle_beta 90.00
_cell_angle_gamma 90.00
loop_
_atom_site_label
_atom_site_type_symbol
_atom_site_fract_x
_atom_site_fract_y
_atom_site_fract_z
_atom_site_occupancy
O1 O 0.6416 0.8064 0.2968 1
O2 O 0.4264 0.4764 0.6206 1
O3 O 0.4412 0.8379 0.6772 1
O4 O 0.9412 0.6621 0.0728 1
O5 O 0.4764 0.4264 0.3794 1
O6 O 0.3064 0.8584 0.0468 1
O7 O 0.6936 0.1416 0.5468 1
O8 O 0.8584 0.3064 0.9532 1
O9 O 0.9764 0.0736 0.3706 1
O10 O 0.2016 0.7984 0.2500 1
O11 O 0.7984 0.2016 0.7500 1
O12 O 0.1621 0.5588 0.8228 1
O13 O 0.5236 0.5736 0.8794 1
O14 O 0.7016 0.7016 0.5000 1
O15 O 0.0236 0.9264 0.8706 1
O16 O 0.8379 0.4412 0.3228 1
O17 O 0.2984 0.2984 0.0000 1
O18 O 0.8064 0.6416 0.7032 1
O19 O 0.9264 0.0236 0.1294 1
O20 O 0.3379 0.0588 0.4272 1
O21 O 0.5736 0.5236 0.1206 1
O22 O 0.0588 0.3379 0.5728 1
O23 O 0.0736 0.9764 0.6294 1
O24 O 0.1416 0.6936 0.4532 1
O25 O 0.1936 0.3584 0.2032 1
O26 O 0.6621 0.9412 0.9272 1
O27 O 0.5588 0.1621 0.1772 1
O28 O 0.3584 0.1936 0.7968 1
Ge1 Ge 0.6570 0.5993 0.3732 1
Ge2 Ge 0.8430 0.0993 0.8768 1
Ge3 Ge 0.3430 0.4007 0.8732 1
Ge4 Ge 0.9007 0.1570 0.6232 1
Ge5 Ge 0.5993 0.6570 0.6268 1
Ge6 Ge 0.4007 0.3430 0.1268 1
Ge7 Ge 0.1570 0.9007 0.3768 1
Ge8 Ge 0.0993 0.8430 0.1232 1
Nd1 Nd 0.3784 0.1524 0.6156 1
Nd2 Nd 0.1216 0.6524 0.6344 1
Nd3 Nd 0.8784 0.3476 0.1344 1
Nd4 Nd 0.6524 0.1216 0.3656 1
Nd5 Nd 0.8476 0.6216 0.8844 1
Nd6 Nd 0.1524 0.3784 0.3844 1
Nd7 Nd 0.6216 0.8476 0.1156 1
Nd8 Nd 0.3476 0.8784 0.8656 1
```

## Properties
energy	-7.3944	eV per atom
space group	P4_12_12, No. 92
size of the total moment	0.001	Bohr magnetons per cell



Record 3
The following is a DFT calculation (PBE) of an optimized crystal structure of MoI4Cl.

```
data_MoI4Cl
_space_group_name_H-M_alt 'P 1'
_space_group_IT_number 1
_space_group_name_Hall 'P 1'
_cell_length_a 7.0342
_cell_length_b 7.5083
_cell_length_c 10.2261
_cell_angle_alpha 108.92
_cell_angle_beta 91.35
_cell_angle_gamma 117.74
loop_
_atom_site_label
_atom_site_type_symbol
_atom_site_fract_x
_atom_site_fract_y
_atom_site_fract_z
_atom_site_occupancy
I1 I 0.8806 0.8940 0.6566 1
I2 I 0.7566 0.3063 0.5451 1
I3 I 0.3295 0.5167 0.7553 1
I4 I 0.2434 0.6937 0.4549 1
I5 I 0.6705 0.4833 0.2447 1
I6 I 0.1194 0.1060 0.3434 1
I7 I 0.9341 0.6897 0.9438 1
I8 I 0.0659 0.3103 0.0562 1
Mo1 Mo 0.1151 0.7229 0.7237 1
Mo2 Mo 0.8849 0.2771 0.2763 1
Cl1 Cl 0.5749 0.9399 0.1756 1
Cl2 Cl 0.4251 0.0601 0.8244 1
```

## Properties
energy	-3.3770	eV per atom
E above lowest polymorph	0.002	eV per atom
space group	P-1, No. 2
size of the total moment	1.988	Bohr magnetons per cell